# AlCuIrAu | Alexandria via LeMat-Bulk | PBE-GGA | optimized geometry
# E_tot = -84.1 eV/cell
# calculated density = 13.7 g/cm³
# N(E_F) = 11.8 states/eV/cell
# formation energy from the elements = -260 meV per atom
data_AlCuIrAu
_cell_length_a 6.1453
_cell_length_b 6.1453
_cell_length_c 6.1453
_cell_angle_alpha 90.00
_cell_angle_beta 90.00
_cell_angle_gamma 90.00
_symmetry_space_group_name_H-M 'F -4 3 m'
_symmetry_Int_Tables_number 216
_symmetry_space_group_name_Hall 'F -4 2 3'
loop_
_atom_site_label
_atom_site_type_symbol
_atom_site_fract_x
_atom_site_fract_y
_atom_site_fract_z
_atom_site_occupancy
Al1 Al 0.0000 0.0000 0.0000 1
Cu1 Cu 0.0000 0.0000 0.5000 1
Ir1 Ir 0.2500 0.2500 0.2500 1
Au1 Au 0.2500 0.2500 0.7500 1



# LaAlCu2Au4 | Alexandria via LeMat-Bulk | PBE-GGA | optimized geometry
# E_tot = -99.0 eV/cell
# calculated density = 11.8 g/cm³
# N(E_F) = 10.6 states/eV/cell
# formation energy from the elements = -378 meV per atom
data_LaAlCu2Au4
_cell_length_a 4.4453
_cell_length_b 4.4453
_cell_length_c 26.7356
_cell_angle_alpha 90.00
_cell_angle_beta 90.00
_cell_angle_gamma 120.00
_symmetry_space_group_name_H-M 'R -3 m'
_symmetry_Int_Tables_number 166
_symmetry_space_group_name_Hall '-R 3 2"'
loop_
_atom_site_label
_atom_site_type_symbol
_atom_site_fract_x
_atom_site_fract_y
_atom_site_fract_z
_atom_site_occupancy
La1 La 0.0000 0.0000 0.0000 1
Al1 Al 0.0000 0.0000 0.5000 1
Cu1 Cu 0.0000 0.0000 0.2378 1
Au1 Au 0.0000 0.0000 0.1329 1
Au2 Au 0.0000 0.0000 0.4008 1